BaThPt4 | GGA-PBE | optimized geometry

Structure (extended XYZ):
```
6
Lattice="-4.396 3.466 0.206 -4.612 -1.147 -2.965 -4.693 -1.581 2.619" Properties=species:S:1:pos:R:3 pbc="T T T"
Pt -6.215 1.255 -1.401
Pt -6.255 1.037 1.400
Pt -8.568 0.462 -0.087
Pt -6.363 -1.277 -0.191
Th 0.000 0.000 0.000
Ba -3.425 0.185 -0.035
```

For the raw total energy, the calculation gives -38.48 eV for the cell shown. Its space group is F-43m.

---

BaThPt10 | GGA-PBE | optimized geometry

Structure (extended XYZ):
```
12
Lattice="4.412 0.000 0.000 0.000 5.528 0.000 0.000 0.000 9.520" Properties=species:S:1:pos:R:3 pbc="T T T"
Ba 0.000 0.000 0.000
Th 0.000 2.764 4.760
Pt 0.000 0.000 3.234
Pt 0.000 2.764 7.831
Pt 0.000 2.764 1.689
Pt 0.000 0.000 6.286
Pt 2.206 0.000 4.760
Pt 2.206 2.764 0.000
Pt 2.206 1.416 2.476
Pt 2.206 4.112 7.044
Pt 2.206 4.112 2.476
Pt 2.206 1.416 7.044
```

For the raw total energy, the calculation gives -77.74 eV for the cell shown. Its space group is Pmmm.

---

BaThPt | GGA-PBE | optimized geometry

Structure (extended XYZ):
```
6
Lattice="-1.212 -3.426 -3.957 1.640 -0.309 3.413 -12.268 -2.238 5.694" Properties=species:S:1:pos:R:3 pbc="T T T"
Pt -0.206 -2.495 -1.424
Pt -5.729 -1.910 3.408
Th -4.967 -3.372 0.793
Th -7.704 -3.872 2.064
Ba -10.183 -2.713 5.468
Ba -1.284 -1.090 1.337
```

For the raw total energy, the calculation gives -33.37 eV for the cell shown. Its space group is Amm2.

---

BaThPt2 | GGA-PBE | optimized geometry

Structure (extended XYZ):
```
4
Lattice="4.210 0.000 0.000 2.105 3.646 0.000 2.105 1.215 7.748" Properties=species:S:1:pos:R:3 pbc="T T T"
Ba 4.210 2.431 3.956
Th 6.316 3.646 7.705
Pt 2.105 1.215 6.117
Pt 2.105 1.215 1.591
```

As for the excess energy over the best structure of this formula in the dataset: 49.2 meV per atom. Its space group is R3m.

---

BaThPt2 | GGA-PBE | optimized geometry

Structure (extended XYZ):
```
4
Lattice="3.729 0.000 0.000 0.000 3.729 0.000 0.000 0.000 7.780" Properties=species:S:1:pos:R:3 pbc="T T T"
Pt 0.000 0.000 6.288
Pt 0.000 0.000 1.491
Th 1.864 1.864 0.000
Ba 1.864 1.864 3.890
```

As for the excess energy over the best structure of this formula in the dataset: 17.4 meV per atom. Its space group is P4/mmm.

---

BaTiPt2 | GGA-PBE | optimized geometry

Structure (extended XYZ):
```
4
Lattice="2.798 -2.694 3.116 0.594 1.474 4.719 -2.146 -2.556 3.696" Properties=species:S:1:pos:R:3 pbc="T T T"
Ba 0.623 -1.888 5.766
Pt 0.311 -0.944 2.883
Pt 0.934 -2.832 8.649
Ti 0.000 0.000 0.000
```

As for the excess energy over the best structure of this formula in the dataset: 551.9 meV per atom. Its space group is Fm-3m.

---

BaTi3Pt | GGA-PBE | optimized geometry

Structure (extended XYZ):
```
5
Lattice="-2.405 -4.344 0.628 3.446 -2.313 -2.797 2.718 -0.912 4.102" Properties=species:S:1:pos:R:3 pbc="T T T"
Ba 1.879 -3.784 0.967
Pt 0.000 0.000 0.000
Ti 1.723 -1.156 -1.399
Ti 1.359 -0.456 2.051
Ti -1.203 -2.172 0.314
```

As for the excess energy over the best structure of this formula in the dataset: 0.0 meV per atom. Its space group is Pm-3m.

---

BaTi3Pt | GGA-PBE | optimized geometry

Structure (extended XYZ):
```
5
Lattice="4.865 0.000 0.000 0.000 4.865 0.000 0.000 0.000 4.865" Properties=species:S:1:pos:R:3 pbc="T T T"
Ba 0.000 0.000 0.000
Pt 2.432 2.432 2.432
Ti 0.000 2.432 0.000
Ti 0.000 0.000 2.432
Ti 2.432 0.000 0.000
```

As for the excess energy over the best structure of this formula in the dataset: 1566.7 meV per atom. Its space group is Pm-3m.